VASP calculation (PBE) on a relaxed structure of Zr2AlSi.

Computed properties:
raw formation energy = -0.2401 eV per atom
space group = No. 187
calculated total energy = -0.5002 Ry per atom

```
Zr2AlSi
1.0
3.657 0.000 0.000
-1.829 3.167 0.000
0.000 0.000 7.467
Zr Al Si
2 1 1
Cartesian
0.000 0.000 1.667
0.000 0.000 5.799
1.829 1.056 3.733
0.000 2.111 0.000
```